(1)
This record from Alexandria via LeMat-Bulk describes a relaxed Cs3Sb4Pb2 crystal. The functional is PBE-GGA.

a b c (Å): 8.535 8.535 11.417
angles (deg): 111.33 111.33 31.25
Fractional positions:
1 Cs 0.000 0.000 0.000
2 Cs 0.404 0.404 0.322
3 Cs 0.596 0.596 0.678
4 Sb 0.110 0.110 0.396
5 Sb 0.282 0.282 0.951
6 Sb 0.718 0.718 0.049
7 Sb 0.890 0.890 0.604
8 Pb 0.285 0.285 0.649
9 Pb 0.715 0.715 0.351

Calculated values
space-group type: C2/m (12)
energy above the lowest structure with this stoichiometry: 0 meV per atom



(2)
This record from Alexandria via LeMat-Bulk describes a relaxed Cs2Sn3SbPb4 crystal. The functional is PBE-GGA.

a b c (Å): 5.367 5.367 13.301
angles (deg): 90.00 90.00 90.00
Fractional positions:
1 Cs 0.000 0.500 0.247
2 Cs 0.500 0.000 0.753
3 Sn 0.000 0.000 0.000
4 Sn 0.000 0.500 0.627
5 Sn 0.500 0.000 0.373
6 Sb 0.500 0.500 0.000
7 Pb 0.000 0.000 0.500
8 Pb 0.000 0.500 0.874
9 Pb 0.500 0.000 0.126
10 Pb 0.500 0.500 0.500

Calculated values
space-group type: P-4m2 (115)
E_tot: -3.4050 eV per atom



(3)
This record from Alexandria via LeMat-Bulk describes a relaxed Cs3Sn2Sb4Pb2 crystal. The functional is PBE-GGA.

a b c (Å): 5.093 5.093 21.391
angles (deg): 90.00 90.00 120.00
Fractional positions:
1 Cs 0.000 0.000 0.000
2 Cs 0.000 0.000 0.290
3 Cs 0.000 0.000 0.710
4 Sn 0.333 0.667 0.552
5 Sn 0.667 0.333 0.448
6 Sb 0.333 0.667 0.414
7 Sb 0.333 0.667 0.877
8 Sb 0.667 0.333 0.123
9 Sb 0.667 0.333 0.586
10 Pb 0.333 0.667 0.176
11 Pb 0.667 0.333 0.824

Calculated values
space-group type: P-3m1 (164)
E_tot: -3.3526 eV per atom



(4)
This record from Alexandria via LeMat-Bulk describes a relaxed Cs2SnSb2Pb crystal. The functional is PBE-GGA.

a b c (Å): 10.071 10.071 10.071
angles (deg): 133.10 67.62 134.22
Fractional positions:
1 Cs 0.170 0.246 0.415
2 Cs 0.330 0.746 0.076
3 Cs 0.670 0.254 0.924
4 Cs 0.830 0.754 0.585
5 Sn 0.250 0.250 0.000
6 Sn 0.750 0.750 0.000
7 Sb 0.088 0.764 0.853
8 Sb 0.412 0.264 0.676
9 Sb 0.588 0.736 0.324
10 Sb 0.912 0.236 0.147
11 Pb 0.250 0.750 0.500
12 Pb 0.750 0.250 0.500

Calculated values
space-group type: Ibam (72)
E_tot: -3.2355 eV per atom



(5)
This record from Alexandria via LeMat-Bulk describes a relaxed Cs2SrSb2Pb crystal. The functional is PBE-GGA.

a b c (Å): 10.602 10.602 10.602
angles (deg): 136.85 63.36 135.96
Fractional positions:
1 Cs 0.180 0.228 0.408
2 Cs 0.320 0.728 0.048
3 Cs 0.680 0.272 0.952
4 Cs 0.820 0.772 0.592
5 Sr 0.250 0.750 0.500
6 Sr 0.750 0.250 0.500
7 Sb 0.099 0.754 0.854
8 Sb 0.401 0.254 0.655
9 Sb 0.599 0.746 0.345
10 Sb 0.901 0.246 0.146
11 Pb 0.250 0.250 0.000
12 Pb 0.750 0.750 0.000

Calculated values
space-group type: Ibam (72)
E_tot: -3.1174 eV per atom



(6)
This record from Alexandria via LeMat-Bulk describes a relaxed CsSbTe3Pb crystal. The functional is PBE-GGA.

a b c (Å): 10.493 4.507 11.229
angles (deg): 90.00 106.55 90.00
Fractional positions:
1 Cs 0.192 0.250 0.233
2 Cs 0.808 0.750 0.767
3 Sb 0.359 0.750 0.859
4 Sb 0.641 0.250 0.141
5 Te 0.146 0.250 0.846
6 Te 0.321 0.750 0.563
7 Te 0.440 0.750 0.135
8 Te 0.560 0.250 0.865
9 Te 0.679 0.250 0.437
10 Te 0.854 0.750 0.154
11 Pb 0.128 0.250 0.572
12 Pb 0.872 0.750 0.428

Calculated values
space-group type: P2_1/m (11)
E_tot: -3.4745 eV per atom



(7)
This record from Alexandria via LeMat-Bulk describes a relaxed CsSbTe2Pb crystal. The functional is PBE-GGA.

a b c (Å): 6.287 6.287 6.160
angles (deg): 90.00 90.00 90.00
Fractional positions:
1 Cs 0.000 0.000 0.000
2 Sb 0.000 0.000 0.500
3 Te 0.000 0.500 0.000
4 Te 0.500 0.000 0.000
5 Pb 0.500 0.500 0.500

Calculated values
space-group type: P4/mmm (123)
energy above the lowest structure with this stoichiometry: 978 meV per atom



(8)
This record from Alexandria via LeMat-Bulk describes a relaxed CsSb2TePb crystal. The functional is PBE-GGA.

a b c (Å): 5.960 5.960 6.223
angles (deg): 90.00 90.00 90.00
Fractional positions:
1 Cs 0.000 0.000 0.000
2 Sb 0.000 0.500 0.500
3 Sb 0.500 0.000 0.500
4 Te 0.500 0.500 0.000
5 Pb 0.500 0.500 0.500

Calculated values
space-group type: P4/mmm (123)
energy above the lowest structure with this stoichiometry: 0 meV per atom



(9)
This record from Alexandria via LeMat-Bulk describes a relaxed CsSbTe2Pb crystal. The functional is PBE-GGA.

a b c (Å): 6.116 6.116 5.939
angles (deg): 90.00 90.00 90.00
Fractional positions:
1 Cs 0.000 0.000 0.000
2 Sb 0.500 0.500 0.000
3 Te 0.000 0.500 0.500
4 Te 0.500 0.000 0.500
5 Pb 0.500 0.500 0.500

Calculated values
space-group type: P4/mmm (123)
energy above the lowest structure with this stoichiometry: 0 meV per atom



(10)
This record from Alexandria via LeMat-Bulk describes a relaxed Cs2SbTe4Pb crystal. The functional is PBE-GGA.

a b c (Å): 15.559 13.754 8.881
angles (deg): 83.90 61.52 34.58
Fractional positions:
1 Cs 0.060 0.060 0.690
2 Cs 0.310 0.310 0.940
3 Cs 0.690 0.690 0.060
4 Cs 0.940 0.940 0.310
5 Sb 0.375 0.375 0.375
6 Sb 0.625 0.625 0.625
7 Te 0.028 0.352 0.432
8 Te 0.312 0.568 0.648
9 Te 0.352 0.028 0.688
10 Te 0.432 0.688 0.028
11 Te 0.568 0.312 0.972
12 Te 0.648 0.972 0.312
13 Te 0.688 0.432 0.352
14 Te 0.972 0.648 0.568
15 Pb 0.125 0.125 0.125
16 Pb 0.875 0.875 0.875

Calculated values
space-group type: Fddd (70)
E_tot: -3.2645 eV per atom



(11)
This record from Alexandria via LeMat-Bulk describes a relaxed CsSb2TePb crystal. The functional is PBE-GGA.

a b c (Å): 6.135 6.135 6.311
angles (deg): 90.00 90.00 90.00
Fractional positions:
1 Cs 0.000 0.000 0.000
2 Sb 0.000 0.500 0.000
3 Sb 0.500 0.000 0.000
4 Te 0.000 0.000 0.500
5 Pb 0.500 0.500 0.500

Calculated values
space-group type: P4/mmm (123)
energy above the lowest structure with this stoichiometry: 958 meV per atom



(12)
This record from Alexandria via LeMat-Bulk describes a relaxed CsTl2Sb2Pb crystal. The functional is PBE-GGA.

a b c (Å): 5.500 5.500 8.553
angles (deg): 90.00 90.00 120.00
Fractional positions:
1 Cs 0.000 0.000 0.000
2 Tl 0.333 0.667 0.679
3 Tl 0.667 0.333 0.321
4 Sb 0.333 0.667 0.305
5 Sb 0.667 0.333 0.695
6 Pb 0.000 0.000 0.500

Calculated values
space-group type: P-3m1 (164)
E_tot: -3.0462 eV per atom



(13)
This record from Alexandria via LeMat-Bulk describes a relaxed CsTl4Sb2Pb crystal. The functional is PBE-GGA.

a b c (Å): 4.719 4.719 13.893
angles (deg): 90.00 90.00 90.00
Fractional positions:
1 Cs 0.000 0.000 0.000
2 Tl 0.000 0.500 0.238
3 Tl 0.000 0.500 0.762
4 Tl 0.500 0.000 0.238
5 Tl 0.500 0.000 0.762
6 Sb 0.500 0.500 0.393
7 Sb 0.500 0.500 0.607
8 Pb 0.000 0.000 0.500

Calculated values
space-group type: P4/mmm (123)
E_tot: -2.7667 eV per atom



(14)
This record from Alexandria via LeMat-Bulk describes a relaxed Cs2Tl4Sb3Pb crystal. The functional is PBE-GGA.

a b c (Å): 5.206 5.206 14.147
angles (deg): 90.00 90.00 90.00
Fractional positions:
1 Cs 0.000 0.500 0.245
2 Cs 0.500 0.000 0.755
3 Tl 0.000 0.000 0.000
4 Tl 0.000 0.500 0.641
5 Tl 0.500 0.000 0.359
6 Tl 0.500 0.500 0.000
7 Sb 0.000 0.500 0.875
8 Sb 0.500 0.000 0.125
9 Sb 0.500 0.500 0.500
10 Pb 0.000 0.000 0.500

Calculated values
space-group type: P-4m2 (115)
E_tot: -2.8907 eV per atom



(15)
This record from Alexandria via LeMat-Bulk describes a relaxed Cs3Tl4Sb2Pb2 crystal. The functional is PBE-GGA.

a b c (Å): 4.920 4.920 23.268
angles (deg): 90.00 90.00 120.00
Fractional positions:
1 Cs 0.000 0.000 0.000
2 Cs 0.000 0.000 0.266
3 Cs 0.000 0.000 0.734
4 Tl 0.333 0.667 0.392
5 Tl 0.333 0.667 0.890
6 Tl 0.667 0.333 0.110
7 Tl 0.667 0.333 0.608
8 Sb 0.333 0.667 0.156
9 Sb 0.667 0.333 0.844
10 Pb 0.333 0.667 0.535
11 Pb 0.667 0.333 0.465

Calculated values
space-group type: P-3m1 (164)
E_tot: -2.6445 eV per atom



(16)
This record from Alexandria via LeMat-Bulk describes a relaxed CsTlSb2Pb4 crystal. The functional is PBE-GGA.

a b c (Å): 5.284 5.284 10.767
angles (deg): 90.00 90.00 90.00
Fractional positions:
1 Cs 0.000 0.000 0.000
2 Tl 0.000 0.000 0.500
3 Sb 0.500 0.500 0.149
4 Sb 0.500 0.500 0.851
5 Pb 0.000 0.500 0.319
6 Pb 0.000 0.500 0.681
7 Pb 0.500 0.000 0.319
8 Pb 0.500 0.000 0.681

Calculated values
space-group type: P4/mmm (123)
E_tot: -3.3645 eV per atom



(17)
This record from Alexandria via LeMat-Bulk describes a relaxed CsZnSbPb crystal. The functional is PBE-GGA.

a b c (Å): 4.447 4.447 15.321
angles (deg): 90.00 90.00 90.00
Fractional positions:
1 Cs 0.250 0.250 0.250
2 Cs 0.750 0.750 0.750
3 Zn 0.250 0.750 0.000
4 Zn 0.750 0.250 0.000
5 Sb 0.250 0.250 0.892
6 Sb 0.750 0.750 0.108
7 Pb 0.250 0.750 0.500
8 Pb 0.750 0.250 0.500

Calculated values
space-group type: P4/nmm (129)
E_tot: -2.6624 eV per atom



(18)
This record from Alexandria via LeMat-Bulk describes a relaxed CsSc3Pb crystal. The functional is PBE-GGA.

a b c (Å): 5.303 5.303 5.303
angles (deg): 90.00 90.00 90.00
Fractional positions:
1 Cs 0.000 0.000 0.000
2 Sc 0.000 0.000 0.500
3 Sc 0.000 0.500 0.000
4 Sc 0.500 0.000 0.000
5 Pb 0.500 0.500 0.500

Calculated values
formation energy from the elements: 6.397 eV per formula unit
space-group type: Pm-3m (221)
energy above the lowest structure with this stoichiometry: 675 meV per atom



(19)
This record from Alexandria via LeMat-Bulk describes a relaxed CsScPb3 crystal. The functional is PBE-GGA.

a b c (Å): 5.785 5.785 5.785
angles (deg): 90.00 90.00 90.00
Fractional positions:
1 Cs 0.000 0.000 0.000
2 Sc 0.500 0.500 0.500
3 Pb 0.000 0.500 0.500
4 Pb 0.500 0.000 0.500
5 Pb 0.500 0.500 0.000

Calculated values
formation energy from the elements: -0.139 eV per formula unit
space-group type: Pm-3m (221)
energy above the lowest structure with this stoichiometry: 0 meV per atom



(20)
This record from Alexandria via LeMat-Bulk describes a relaxed CsScPb3 crystal. The functional is PBE-GGA.

a b c (Å): 6.116 6.116 6.116
angles (deg): 90.00 90.00 90.00
Fractional positions:
1 Cs 0.000 0.000 0.000
2 Sc 0.500 0.500 0.500
3 Pb 0.000 0.000 0.500
4 Pb 0.000 0.500 0.000
5 Pb 0.500 0.000 0.000

Calculated values
formation energy from the elements: 6.853 eV per formula unit
space-group type: Pm-3m (221)
energy above the lowest structure with this stoichiometry: 1398 meV per atom



(21)
This record from Alexandria via LeMat-Bulk describes a relaxed Cs2ScPb crystal. The functional is PBE-GGA.

a b c (Å): 9.024 9.024 9.024
angles (deg): 90.00 90.00 90.00
Fractional positions:
1 Cs 0.250 0.250 0.250
2 Cs 0.250 0.250 0.750
3 Cs 0.250 0.750 0.250
4 Cs 0.250 0.750 0.750
5 Cs 0.750 0.250 0.250
6 Cs 0.750 0.250 0.750
7 Cs 0.750 0.750 0.250
8 Cs 0.750 0.750 0.750
9 Sc 0.000 0.000 0.000
10 Sc 0.000 0.500 0.500
11 Sc 0.500 0.000 0.500
12 Sc 0.500 0.500 0.000
13 Pb 0.000 0.000 0.500
14 Pb 0.000 0.500 0.000
15 Pb 0.500 0.000 0.000
16 Pb 0.500 0.500 0.500

Calculated values
formation energy from the elements: 2.582 eV per formula unit
space-group type: Fm-3m (225)
energy above the lowest structure with this stoichiometry: 353 meV per atom



(22)
This record from Alexandria via LeMat-Bulk describes a relaxed CsSc2Pb2 crystal. The functional is PBE-GGA.

a b c (Å): 9.610 9.610 3.370
angles (deg): 90.00 90.00 90.00
Fractional positions:
1 Cs 0.000 0.000 0.000
2 Cs 0.500 0.500 0.000
3 Sc 0.132 0.368 0.500
4 Sc 0.368 0.868 0.500
5 Sc 0.632 0.132 0.500
6 Sc 0.868 0.632 0.500
7 Pb 0.154 0.654 0.000
8 Pb 0.346 0.154 0.000
9 Pb 0.654 0.846 0.000
10 Pb 0.846 0.346 0.000

Calculated values
formation energy from the elements: -0.358 eV per formula unit
space-group type: P4/mbm (127)
energy above the lowest structure with this stoichiometry: 89 meV per atom



(23)
This record from Alexandria via LeMat-Bulk describes a relaxed CsSc2Pb2 crystal. The functional is PBE-GGA.

a b c (Å): 9.349 9.349 3.394
angles (deg): 90.00 90.00 90.00
Fractional positions:
1 Cs 0.000 0.000 0.000
2 Cs 0.500 0.500 0.000
3 Sc 0.129 0.371 0.000
4 Sc 0.371 0.871 0.000
5 Sc 0.629 0.129 0.000
6 Sc 0.871 0.629 0.000
7 Pb 0.159 0.659 0.500
8 Pb 0.341 0.159 0.500
9 Pb 0.659 0.841 0.500
10 Pb 0.841 0.341 0.500

Calculated values
formation energy from the elements: -0.802 eV per formula unit
space-group type: P4/mbm (127)
energy above the lowest structure with this stoichiometry: 0 meV per atom



(24)
This record from Alexandria via LeMat-Bulk describes a relaxed Cs2ScPb crystal. The functional is PBE-GGA.

a b c (Å): 14.493 14.493 5.656
angles (deg): 90.00 90.00 90.00
Fractional positions:
1 Cs 0.089 0.750 0.125
2 Cs 0.250 0.089 0.875
3 Cs 0.250 0.411 0.375
4 Cs 0.411 0.750 0.625
5 Cs 0.589 0.250 0.625
6 Cs 0.750 0.589 0.375
7 Cs 0.750 0.911 0.875
8 Cs 0.911 0.250 0.125
9 Sc 0.000 0.000 0.500
10 Sc 0.000 0.500 0.750
11 Sc 0.500 0.000 0.250
12 Sc 0.500 0.500 0.000
13 Pb 0.000 0.000 0.000
14 Pb 0.000 0.500 0.250
15 Pb 0.500 0.000 0.750
16 Pb 0.500 0.500 0.500

Calculated values
formation energy from the elements: 1.172 eV per formula unit
space-group type: I-42d (122)
energy above the lowest structure with this stoichiometry: 0 meV per atom